Entry 1:
A geometry-optimized SrCrRe structure, computed with PBE-GGA.

POSCAR file:
```
SrCrRe
1.0
6.474 -0.048 0.052
5.693 3.083 0.047
0.781 0.200 3.125
Cr Sr Re
1 1 1
direct
0.954 0.954 0.046
0.670 0.670 0.330
0.375 0.375 0.625
```

Theoretical density, Mg/m³: 8.6
Polymorph energy (0 for the lowest one), meV/atom: 0.0
D(E_F), states/eV per cell: 2.532
Energy, eV/atom: -7.2538
Calculated volume, Å³/cell: 63.1

Entry 2:
A geometry-optimized LaDyTl6 structure, computed with PBE-GGA.

POSCAR file:
```
LaDyTl6
1.0
-3.217 2.829 2.239
-1.927 -3.884 2.138
6.081 1.056 7.401
Tl Dy La
6 1 1
direct
0.000 0.500 0.744
0.500 0.000 0.256
0.500 0.500 0.000
0.500 0.500 0.500
0.500 0.000 0.744
0.000 0.500 0.256
0.000 0.000 0.500
0.000 0.000 0.000
```

Theoretical density, Mg/m³: 11.3
D(E_F), states/eV per cell: 2.393
Energy, eV/atom: -3.2637
Calculated volume, Å³/cell: 225.2

Entry 3:
A geometry-optimized NaMnPCl2 structure, computed with PBE-GGA.

POSCAR file:
```
NaMnPCl2
1.0
-3.745 -1.263 3.237
0.702 -4.937 -1.114
2.994 -0.327 3.336
Cl Mn Na P
2 1 1 1
direct
0.500 0.000 0.000
0.000 0.500 0.000
0.000 0.000 0.000
0.500 0.500 0.500
0.000 0.000 0.500
```

Theoretical density, Mg/m³: 2.5
Polymorph energy (0 for the lowest one), meV/atom: 0.0
D(E_F), states/eV per cell: 1.308
Energy, eV/atom: -4.4802
Calculated volume, Å³/cell: 117.3
Formation energy from raw total energies, meV per atom: -562

Entry 4:
A geometry-optimized BeMo3 structure, computed with PBE-GGA.

POSCAR file:
```
BeMo3
1.0
2.704 0.000 0.000
-0.749 2.598 0.000
0.000 0.000 8.073
Mo Be
3 1
direct
0.000 0.000 0.500
0.500 0.500 0.778
0.500 0.500 0.222
0.000 0.000 0.000
```

Theoretical density, Mg/m³: 8.7
Polymorph energy (0 for the lowest one), meV/atom: 73.3
D(E_F), states/eV per cell: 2.274
Energy, eV/atom: -8.9954
Calculated volume, Å³/cell: 56.7

Entry 5:
A geometry-optimized Mn2HgS2 structure, computed with PBE-GGA.

POSCAR file:
```
Mn2HgS2
1.0
-5.048 -5.537 0.326
4.543 -3.874 4.538
-1.346 1.376 2.522
Mn S Hg
4 4 2
direct
0.140 0.640 0.500
0.860 0.360 0.500
0.640 0.860 0.500
0.360 0.140 0.500
0.146 0.354 0.000
0.354 0.854 0.000
0.646 0.146 0.000
0.854 0.646 0.000
0.000 0.000 0.000
0.500 0.500 0.000
```

Theoretical density, Mg/m³: 7.0
Polymorph energy (0 for the lowest one), meV/atom: 422.1
D(E_F), states/eV per cell: 6.367
Energy, eV/atom: -5.3391
Calculated volume, Å³/cell: 178.5
Formation energy from raw total energies, meV per atom: 40

Entry 6:
A geometry-optimized LaAgRu2 structure, computed with PBE-GGA.

POSCAR file:
```
LaAgRu2
1.0
-1.779 0.803 3.801
3.656 -1.071 1.936
1.262 3.891 -0.231
Ru La Ag
2 1 1
direct
0.500 0.500 0.000
0.000 0.000 0.000
0.000 0.500 0.500
0.500 0.000 0.500
```

Theoretical density, Mg/m³: 10.0
Polymorph energy (0 for the lowest one), meV/atom: 112.0
D(E_F), states/eV per cell: 4.936
Energy, eV/atom: -6.2833
Calculated volume, Å³/cell: 74.8

Entry 7:
A geometry-optimized P2PbSBr structure, computed with PBE-GGA.

POSCAR file:
```
P2PbSBr
1.0
5.349 0.000 0.000
0.000 5.349 0.000
0.000 0.000 5.748
S Br P Pb
1 1 2 1
direct
0.000 0.000 0.500
0.000 0.000 0.000
0.000 0.500 0.000
0.500 0.000 0.000
0.500 0.500 0.500
```

Theoretical density, Mg/m³: 3.8
Polymorph energy (0 for the lowest one), meV/atom: 8.1
D(E_F), states/eV per cell: 3.493
Energy, eV/atom: -2.8467
Calculated volume, Å³/cell: 164.5
Formation energy from raw total energies, meV per atom: 1219

Entry 8:
A geometry-optimized TlAgPb structure, computed with PBE-GGA.

POSCAR file:
```
TlAgPb
1.0
-2.317 2.032 -1.833
-5.800 -3.460 -0.151
-5.628 3.790 4.110
Pb Tl Ag
2 2 2
direct
0.951 0.613 0.025
0.810 0.192 0.883
0.460 0.591 0.531
0.300 0.214 0.377
0.114 0.905 0.220
0.647 0.900 0.688
```

Theoretical density, Mg/m³: 10.9
D(E_F), states/eV per cell: 2.840
Energy, eV/atom: -2.8852
Calculated volume, Å³/cell: 157.8

Entry 9:
A geometry-optimized Np2VRu9 structure, computed with PBE-GGA.

POSCAR file:
```
Np2VRu9
1.0
3.941 0.000 0.000
0.000 3.941 0.000
0.000 0.000 11.670
Ru V Np
9 1 2
direct
0.500 0.500 0.673
0.000 0.500 0.845
0.500 0.000 0.500
0.500 0.500 0.327
0.500 0.500 0.000
0.500 0.000 0.155
0.000 0.500 0.155
0.000 0.500 0.500
0.500 0.000 0.845
0.000 0.000 0.000
0.000 0.000 0.328
0.000 0.000 0.672
```

Theoretical density, Mg/m³: 13.1
D(E_F), states/eV per cell: 15.911
Energy, eV/atom: -9.9487
Calculated volume, Å³/cell: 181.3

Entry 10:
A geometry-optimized ZnPH2 structure, computed with PBE-GGA.

POSCAR file:
```
ZnPH2
1.0
4.411 -0.087 0.013
-1.388 4.170 -0.043
-1.852 -1.760 3.590
H P Zn
2 1 1
direct
0.807 0.207 0.513
0.240 0.205 0.947
0.024 0.393 0.917
0.524 0.862 0.885
```

Theoretical density, Mg/m³: 2.5
Polymorph energy (0 for the lowest one), meV/atom: 99.3
D(E_F), states/eV per cell: 0.480
Energy, eV/atom: -3.1752
Calculated volume, Å³/cell: 65.4

Entry 11:
A geometry-optimized AlCr2Br structure, computed with PBE-GGA.

POSCAR file:
```
AlCr2Br
1.0
-3.114 5.301 -3.939
-1.627 -4.837 -5.222
-5.108 -0.345 -3.194
Cr Br Al
4 2 2
direct
0.375 0.373 0.750
0.627 0.125 0.250
0.875 0.877 0.750
0.123 0.625 0.250
0.000 0.000 0.000
0.750 0.250 0.500
0.250 0.750 0.500
0.500 0.500 0.000
```

Theoretical density, Mg/m³: 4.2
Polymorph energy (0 for the lowest one), meV/atom: 513.6
D(E_F), states/eV per cell: 6.016
Energy, eV/atom: -5.4655
Calculated volume, Å³/cell: 166.5
Formation energy from raw total energies, meV per atom: 700

Entry 12:
A geometry-optimized TlHgHPb2 structure, computed with PBE-GGA.

POSCAR file:
```
TlHgHPb2
1.0
4.878 0.000 0.000
0.000 4.878 0.000
0.000 0.000 5.285
Hg Pb H Tl
1 2 1 1
direct
0.000 0.000 0.500
0.500 0.000 0.000
0.000 0.500 0.000
0.000 0.000 0.000
0.500 0.500 0.500
```

Theoretical density, Mg/m³: 10.8
Polymorph energy (0 for the lowest one), meV/atom: 7.5
D(E_F), states/eV per cell: 2.617
Energy, eV/atom: -2.4771
Calculated volume, Å³/cell: 125.7

Entry 13:
A geometry-optimized Ta2AlGa structure, computed with PBE-GGA.

POSCAR file:
```
Ta2AlGa
1.0
5.045 0.000 0.000
0.000 5.038 -1.168
0.000 0.179 5.169
Ta Al Ga
4 2 2
direct
0.250 0.027 0.645
0.250 0.645 0.027
0.750 0.973 0.355
0.750 0.355 0.973
0.000 0.500 0.500
0.500 0.500 0.500
0.250 0.162 0.162
0.750 0.838 0.838
```

Theoretical density, Mg/m³: 11.5
D(E_F), states/eV per cell: 3.993
Energy, eV/atom: -7.8363
Calculated volume, Å³/cell: 132.4